# Np2NiOs

An optimized crystal structure of Np2NiOs (PBE-GGA, the Alexandria database).

Lattice parameters (Å, degrees): 3.194 3.194 7.328 90.00 90.00 90.00
Site moments in Bohr magnetons follow the coordinates.
Fractional coordinates of all 4 atoms:
Np (0.000, 0.000, 0.252)  3.60
Np (0.000, 0.000, 0.748)  3.60
Ni (0.500, 0.500, 0.500)  -0.07
Os (0.500, 0.500, 0.000)  -0.41

For the total energy, the calculation gives -42.2 eV per cell. Its energy relative to the elements is 0.169 eV/atom. Its density of states at the Fermi level is 10.821 states/eV/cell. Its symmetry is P4/mmm.

***

# KSrBe2

An optimized crystal structure of KSrBe2 (PBE-GGA, the Alexandria database).

Lattice parameters (Å, degrees): 5.094 5.094 5.094 119.86 119.86 90.25
Fractional coordinates of all 4 atoms:
Sr (0.750, 0.250, 0.500)
Be (0.250, 0.750, 0.500)
Be (0.000, 0.000, 0.000)
K (0.500, 0.500, 0.000)

For the total energy, the calculation gives -6.6 eV per cell. Its energy relative to the elements is 0.897 eV/atom. Its density of states at the Fermi level is 5.401 states/eV/cell. The relative energy among the computed polymorphs comes out at 401.0 meV per atom. Its symmetry is I-4m2.

***

# PuTh2In

An optimized crystal structure of PuTh2In (PBE-GGA, the Alexandria database).

Lattice parameters (Å, degrees): 5.433 5.433 5.433 60.00 60.00 60.00
Site moments in Bohr magnetons follow the coordinates.
Fractional coordinates of all 4 atoms:
Th (0.250, 0.250, 0.250)  0.30
Th (0.750, 0.750, 0.750)  0.30
In (0.500, 0.500, 0.500)  -0.08
Pu (0.000, 0.000, 0.000)  5.64

For the total energy, the calculation gives -32.0 eV per cell. Its energy relative to the elements is -0.035 eV/atom. Its density of states at the Fermi level is 15.668 states/eV/cell. The relative energy among the computed polymorphs comes out at 84.0 meV per atom. Its symmetry is Fm-3m.

***

# Mn2AlSe

An optimized crystal structure of Mn2AlSe (PBE-GGA, the Alexandria database).

Lattice parameters (Å, degrees): 4.468 4.468 4.468 60.00 60.00 60.00
Site moments in Bohr magnetons follow the coordinates.
Fractional coordinates of all 4 atoms:
Se (0.750, 0.750, 0.750)  0.04
Al (0.500, 0.500, 0.500)  -0.08
Mn (0.000, 0.000, 0.000)  3.28
Mn (0.250, 0.250, 0.250)  3.20

For the total energy, the calculation gives -24.1 eV per cell. The value obtained for the raw formation energy is 368 meV/atom. Its density of states at the Fermi level is 5.466 states/eV/cell. The relative energy among the computed polymorphs comes out at 395.9 meV per atom. Its symmetry is F-43m.

***

# BaZn3Ga4

An optimized crystal structure of BaZn3Ga4 (PBE-GGA, the Alexandria database).

Lattice parameters (Å, degrees): 4.547 4.547 8.156 90.00 90.00 90.00
Fractional coordinates of all 8 atoms:
Ga (0.000, 0.500, 0.830)
Ga (0.500, 0.000, 0.830)
Ga (0.000, 0.500, 0.170)
Ga (0.500, 0.000, 0.170)
Zn (0.500, 0.500, 0.660)
Zn (0.500, 0.500, 0.340)
Zn (0.000, 0.000, 0.000)
Ba (0.000, 0.000, 0.500)

For the total energy, the calculation gives -19.6 eV per cell. Its energy relative to the elements is -0.216 eV/atom. Its density of states at the Fermi level is 4.226 states/eV/cell. Its symmetry is P4/mmm.

***

# K4PdPb4

An optimized crystal structure of K4PdPb4 (PBE-GGA, the Alexandria database).

Lattice parameters (Å, degrees): 6.534 8.993 6.534 68.70 90.00 111.30
Fractional coordinates of all 9 atoms:
K (0.611, 0.657, 0.954)
K (0.046, 0.657, 0.389)
K (0.954, 0.343, 0.046)
K (0.389, 0.343, 0.611)
Pb (0.653, 0.888, 0.347)
Pb (0.347, 0.112, 0.235)
Pb (0.765, 0.112, 0.653)
Pb (0.235, 0.888, 0.765)
Pd (0.000, 0.000, 0.000)

For the total energy, the calculation gives -25.6 eV per cell. Its energy relative to the elements is -0.127 eV/atom. Its density of states at the Fermi level is 4.284 states/eV/cell. Its symmetry is I-42m.